# 1
Computed, not measured: a relaxed KBaTa2As crystal at the PBE-GGA level of DFT.

POSCAR file:
```
KBaTa2As
1.0
5.058 0.000 0.000
0.000 5.682 0.000
0.000 0.000 5.058
K As Ba Ta
1 1 1 2
Cartesian
0.000 0.000 0.000 K
0.000 2.841 0.000 As
2.529 2.841 2.529 Ba
0.000 0.000 2.529 Ta
2.529 0.000 0.000 Ta
```

**ΔH_f (0 K)**: 210.7 kJ/mol of atoms
**Space-group type**: P4/mmm, No. 123
**V**: 29.07 Å³ per atom

# 2
Computed, not measured: a relaxed BaLa2As crystal at the PBE-GGA level of DFT.

POSCAR file:
```
BaLa2As
1.0
4.113 0.000 0.000
0.000 4.113 0.000
0.000 0.000 8.631
As Ba La
1 1 2
Cartesian
0.000 0.000 3.715 As
2.056 2.056 6.041 Ba
0.000 0.000 0.540 La
2.056 2.056 2.649 La
```

**ΔH_f (0 K)**: -54.2 kJ/mol of atoms
**Space-group type**: P4mm, No. 99
**V**: 36.49 Å³ per atom

# 3
Computed, not measured: a relaxed BaLa2As crystal at the PBE-GGA level of DFT.

POSCAR file:
```
BaLa2As
1.0
-5.447 3.447 1.413
-0.630 -5.231 -3.974
-2.215 -2.460 1.982
As Ba La
1 1 2
Cartesian
-3.831 0.493 1.698 As
-1.423 -3.845 -0.996 Ba
0.000 0.000 0.000 La
-3.039 -0.892 -1.280 La
```

**ΔH_f (0 K)**: -22.1 kJ/mol of atoms
**Space-group type**: C2/m, No. 12
**V**: 32.55 Å³ per atom

Question: The lowest ΔH_f (0 K) belongs to which entry?
Answer: number 2

Question: Look up the V of the first one.
Answer: 29.07 Å³ per atom

Question: What is the V in the third record?
Answer: 32.55 Å³ per atom